1.
Er3Sc5Tl12 after structural relaxation, computed with PBE.

As for the density of states at the Fermi level: 0.76 states/eV/atom. The calculation puts the electronic total energy at -68.43 eV per formula unit. The magnetic moment comes out at 0.000 μB per atom. As for the formation energy from the elements: 266 meV per atom.

The space group is Ia-3d (No. 230) and the conventional cell measures 17.3957, 17.3957 and 17.3957 Å, with angles of 90.00, 90.00 and 90.00 degrees. The asymmetric unit holds Er at (0.0000, 0.2500, 0.1250), Sc at (0.0000, 0.0000, 0.0000), Sc at (0.0000, 0.2500, 0.3750) and Tl at (0.0117, 0.0737, 0.6499).

=====

2.
Er2Sc3Tl4 after structural relaxation, computed with PBE.

As for the density of states at the Fermi level: 0.76 states/eV/atom. The calculation puts the electronic total energy at -39.88 eV per formula unit. The energy above the most stable polymorph in this dataset is 0.0 meV/atom. The magnetic moment comes out at 0.000 μB per atom. As for the formation energy from the elements: -255 meV per atom.

The space group is C2/m (No. 12) and the conventional cell measures 8.7567, 5.0618 and 10.2445 Å, with angles of 90.00, 90.09 and 90.00 degrees. The asymmetric unit holds Er at (0.1670, 0.0000, 0.2746), Sc at (0.0000, 0.5000, 0.5000), Sc at (0.1665, 0.0000, 0.9331), Tl at (0.0003, 0.5000, 0.1525) and Tl at (0.1664, 0.0000, 0.6042).

=====

Question: Which of these has the lowest electronic total energy?
Answer: Er3Sc5Tl12

=====

Repeat the second record exactly.
Er2Sc3Tl4 after structural relaxation, computed with PBE.

As for the density of states at the Fermi level: 0.76 states/eV/atom. The calculation puts the electronic total energy at -39.88 eV per formula unit. The energy above the most stable polymorph in this dataset is 0.0 meV/atom. The magnetic moment comes out at 0.000 μB per atom. As for the formation energy from the elements: -255 meV per atom.

The space group is C2/m (No. 12) and the conventional cell measures 8.7567, 5.0618 and 10.2445 Å, with angles of 90.00, 90.09 and 90.00 degrees. The asymmetric unit holds Er at (0.1670, 0.0000, 0.2746), Sc at (0.0000, 0.5000, 0.5000), Sc at (0.1665, 0.0000, 0.9331), Tl at (0.0003, 0.5000, 0.1525) and Tl at (0.1664, 0.0000, 0.6042).